[1]
# GGA-PBE RbBeI3, relaxed
data_RbBeI3
_space_group_name_H-M_alt 'P m -3 m'
_space_group_IT_number 221
_space_group_name_Hall '-P 4 2 3'
_cell_length_a 5.550
_cell_length_b 5.550
_cell_length_c 5.550
_cell_angle_alpha 90.00
_cell_angle_beta 90.00
_cell_angle_gamma 90.00
loop_
_atom_site_label
_atom_site_type_symbol
_atom_site_fract_x
_atom_site_fract_y
_atom_site_fract_z
Rb1 Rb 0.000 0.000 0.000
Be1 Be 0.500 0.500 0.500
I1 I 0.000 0.500 0.500
# - formation energy (no corrections) (eV per atom) = -0.6162

[2]
# GGA-PBE Rb2BeI4, relaxed
data_Rb2BeI4
_space_group_name_H-M_alt 'I 4/m m m'
_space_group_IT_number 139
_space_group_name_Hall '-I 4 2'
_cell_length_a 5.826
_cell_length_b 5.826
_cell_length_c 17.308
_cell_angle_alpha 90.00
_cell_angle_beta 90.00
_cell_angle_gamma 90.00
loop_
_atom_site_label
_atom_site_type_symbol
_atom_site_fract_x
_atom_site_fract_y
_atom_site_fract_z
Rb1 Rb 0.000 0.000 0.135
Be1 Be 0.000 0.000 0.500
I1 I 0.000 0.000 0.353
I2 I 0.000 0.500 0.000
# - formation energy (no corrections) (eV per atom) = -0.9002

[3]
# GGA-PBE RbBe2I, relaxed
data_RbBe2I
_space_group_name_H-M_alt 'I -4 2 d'
_space_group_IT_number 122
_space_group_name_Hall 'I -4 2bw'
_cell_length_a 8.703
_cell_length_b 8.703
_cell_length_c 6.545
_cell_angle_alpha 90.00
_cell_angle_beta 90.00
_cell_angle_gamma 90.00
loop_
_atom_site_label
_atom_site_type_symbol
_atom_site_fract_x
_atom_site_fract_y
_atom_site_fract_z
Rb1 Rb 0.000 0.000 0.000
Be1 Be 0.204 0.250 0.625
I1 I 0.000 0.000 0.500
# - formation energy (no corrections) (eV per atom) = 0.9057

[4]
# GGA-PBE RbBeI3, relaxed
data_RbBeI3
_space_group_name_H-M_alt 'P m -3 m'
_space_group_IT_number 221
_space_group_name_Hall '-P 4 2 3'
_cell_length_a 7.021
_cell_length_b 7.021
_cell_length_c 7.021
_cell_angle_alpha 90.00
_cell_angle_beta 90.00
_cell_angle_gamma 90.00
loop_
_atom_site_label
_atom_site_type_symbol
_atom_site_fract_x
_atom_site_fract_y
_atom_site_fract_z
Rb1 Rb 0.000 0.000 0.000
Be1 Be 0.500 0.500 0.500
I1 I 0.000 0.000 0.500
# - formation energy (no corrections) (eV per atom) = 0.5342

[5]
# GGA-PBE RbBeI3, relaxed
data_RbBeI3
_space_group_name_H-M_alt 'P 1'
_space_group_IT_number 1
_cell_length_a 6.379
_cell_length_b 8.312
_cell_length_c 8.315
_cell_angle_alpha 76.20
_cell_angle_beta 84.53
_cell_angle_gamma 84.53
loop_
_space_group_symop_operation_xyz
'x,y,z'
loop_
_atom_site_label
_atom_site_type_symbol
_atom_site_fract_x
_atom_site_fract_y
_atom_site_fract_z
Rb1 Rb 0.000 0.000 0.000
Rb2 Rb 0.466 0.339 0.339
Be1 Be 0.232 0.514 0.825
Be2 Be 0.232 0.824 0.515
I1 I 0.000 0.502 0.071
I2 I 0.001 0.070 0.502
I3 I 0.034 0.573 0.574
I4 I 0.431 0.764 0.765
I5 I 0.465 0.268 0.837
I6 I 0.465 0.837 0.269
# - formation energy (no corrections) (eV per atom) = -0.9482

[6]
# GGA-PBE Rb2BeI, relaxed
data_Rb2BeI
_space_group_name_H-M_alt 'F m -3 m'
_space_group_IT_number 225
_space_group_name_Hall '-F 4 2 3'
_cell_length_a 8.931
_cell_length_b 8.931
_cell_length_c 8.931
_cell_angle_alpha 90.00
_cell_angle_beta 90.00
_cell_angle_gamma 90.00
loop_
_atom_site_label
_atom_site_type_symbol
_atom_site_fract_x
_atom_site_fract_y
_atom_site_fract_z
Rb1 Rb 0.250 0.250 0.250
Be1 Be 0.000 0.000 0.000
I1 I 0.000 0.000 0.500
# - formation energy (no corrections) (eV per atom) = 0.0485

| no. | distance to the lowest polymorph of the same formula (eV per atom) | density of states at the Fermi level (states/eV per atom) | total DFT energy (no corrections) (eV/atom) |
| --- | --- | --- | --- |
| 1 | 0.3320 | 0.042 | -2.485 |
| 2 | 0.2174 | 0.000 | -2.595 |
| 3 | 0.0000 | 0.005 | -1.587 |
| 4 | 1.4824 | 3.312 | -1.335 |
| 5 | 0.0000 | 0.000 | -2.817 |
| 6 | 0.0000 | 0.892 | -1.754 |